A plane-wave DFT calculation with GGA-PBE was carried out for MgReCl3 after structural relaxation.

Energy relative to the elements, uncorrected, eV per formula unit: 0.07
ρ, kg/m³: 4247

Cell: 4.985 4.985 4.985 Å, 90.00 90.00 90.00°
Space group Pm-3m (No. 221)
Symmetry-distinct sites (fractional):
Mg (0.000, 0.000, 0.000) x1
Re (0.500, 0.500, 0.500) x1
Cl (0.000, 0.000, 0.500) x3